# PBE Pm5Ge6, relaxed
data_Pm5Ge6
_chemical_formula_sum 'Pm10 Ge12'
_symmetry_space_group_name_H-M 'C m m m'
_symmetry_Int_Tables_number 65
_symmetry_space_group_name_Hall '-C 2 2'
_cell_length_a 4.064
_cell_length_b 29.625
_cell_length_c 4.416
_cell_angle_alpha 90.00
_cell_angle_beta 90.00
_cell_angle_gamma 90.00
loop_
_atom_site_label
_atom_site_fract_x
_atom_site_fract_y
_atom_site_fract_z
Pm1 0.000 0.000 0.000
Pm2 0.000 0.199 0.500
Pm3 0.000 0.386 0.000
Ge1 0.000 0.098 0.500
Ge2 0.000 0.280 0.000
Ge3 0.000 0.458 0.500
# total magnetization: 0.0 μB per cell
# DFT total energy: -120.43 eV per cell